No. 1
Density functional theory data (PBE-GGA) for crystalline TbY5Ho5 at its relaxed geometry.

Calculated values
DFT formation energy   150 meV/atom
Total moment   0.0 μB/cell
Energy above the most stable polymorph in this dataset   0.00 kcal/mol of atoms

Lattice parameters (Å, degrees): 6.8379 6.8403 8.5688 75.20 75.21 70.37
Atoms (fractional coordinates):
Tb: 0.0000 0.0000 0.0000
Y: 0.1856 0.6841 0.3649
Y: 0.3546 0.8542 0.6367
Y: 0.5000 0.0000 0.0000
Y: 0.6454 0.1458 0.3633
Y: 0.8144 0.3159 0.6351
Ho: 0.1482 0.2274 0.2738
Ho: 0.2722 0.3524 0.7267
Ho: 0.5000 0.5000 0.0000
Ho: 0.7278 0.6476 0.2733
Ho: 0.8518 0.7726 0.7262

---

No. 2
Density functional theory data (PBE-GGA) for crystalline KPmP2Pd4 at its relaxed geometry.

Calculated values
DFT formation energy   -573 meV/atom
Total moment   0.0 μB/cell

Lattice parameters (Å, degrees): 4.1445 4.1445 10.5075 90.00 90.00 90.00
Atoms (fractional coordinates):
K: 0.0000 0.0000 0.0000
Pm: 0.0000 0.0000 0.5000
P: 0.5000 0.5000 0.1911
P: 0.5000 0.5000 0.8089
Pd: 0.0000 0.5000 0.2951
Pd: 0.0000 0.5000 0.7049
Pd: 0.5000 0.0000 0.2951
Pd: 0.5000 0.0000 0.7049

---

No. 3
Density functional theory data (PBE-GGA) for crystalline Pr3Pt8Rh at its relaxed geometry.

Calculated values
DFT formation energy   -807 meV/atom
Total moment   0.4 μB/cell

Lattice parameters (Å, degrees): 9.4622 9.4622 9.4622 33.65 33.65 33.65
Atoms (fractional coordinates):
Pr: 0.0000 0.0000 0.0000
Pr: 0.1306 0.1306 0.1306
Pr: 0.6088 0.6088 0.6088
Pt: 0.0588 0.0588 0.5635
Pt: 0.0588 0.5635 0.0588
Pt: 0.0608 0.5608 0.5608
Pt: 0.3102 0.3102 0.3102
Pt: 0.5608 0.0608 0.5608
Pt: 0.5608 0.5608 0.0608
Pt: 0.5635 0.0588 0.0588
Pt: 0.8111 0.8111 0.8111
Rh: 0.4835 0.4835 0.4835

---

> Which value of DFT formation energy does entry 3 give?

-807 meV/atom

---

> Look up the total moment of the third one.

0.4 μB/cell